{"formula": "TbPrCuGe", "functional": "GGA-PBE", "state": "optimized geometry", "ef_mev_per_atom": -461, "mass_density_g_cm3": 7.7, "spacegroup": "F-43m (216)", "cell": [[0.0000, 3.6018, 3.6018], [3.6018, 0.0000, 3.6018], [3.6018, 3.6018, 0.0000]], "species": ["Tb", "Pr", "Cu", "Ge"], "frac_coords": [[0.0000, 0.0000, 0.0000], [0.5000, 0.5000, 0.5000], [0.2500, 0.2500, 0.2500], [0.7500, 0.7500, 0.7500]]}

{"formula": "PrAsC", "functional": "GGA-PBE", "state": "optimized geometry", "ef_mev_per_atom": 50, "mass_density_g_cm3": 6.4, "spacegroup": "C2/m (12)", "cell": [[4.9876, -1.7053, 0.0000], [4.9876, 1.7053, 0.0000], [-4.8157, 0.0000, 7.0042]], "species": ["Pr", "Pr", "As", "As", "C", "C"], "frac_coords": [[0.0488, 0.0488, 0.3192], [0.9512, 0.9512, 0.6808], [0.2386, 0.2386, 0.1514], [0.7614, 0.7614, 0.8486], [0.2294, 0.2294, 0.6865], [0.7706, 0.7706, 0.3135]]}

{"formula": "CaSmMgGa", "functional": "GGA-PBE", "state": "optimized geometry", "ef_mev_per_atom": -302, "e_above_lowest_polymorph_mev_per_atom": 4.5, "mass_density_g_cm3": 4.5, "spacegroup": "F-43m (216)", "cell": [[0.0000, 3.7485, 3.7485], [3.7485, 0.0000, 3.7485], [3.7485, 3.7485, 0.0000]], "species": ["Ca", "Sm", "Mg", "Ga"], "frac_coords": [[0.0000, 0.0000, 0.0000], [0.5000, 0.5000, 0.5000], [0.2500, 0.2500, 0.2500], [0.7500, 0.7500, 0.7500]]}

{"formula": "Dy2ZnGa8", "functional": "GGA-PBE", "state": "optimized geometry", "ef_mev_per_atom": -364, "mass_density_g_cm3": 7.3, "spacegroup": "P4/mmm (123)", "cell": [[4.4145, 0.0000, 0.0000], [0.0000, 4.4145, 0.0000], [0.0000, 0.0000, 11.0113]], "species": ["Dy", "Dy", "Zn", "Ga", "Ga", "Ga", "Ga", "Ga", "Ga", "Ga", "Ga"], "frac_coords": [[0.0000, 0.0000, 0.1910], [0.0000, 0.0000, 0.8090], [0.0000, 0.0000, 0.5000], [0.0000, 0.5000, 0.0000], [0.0000, 0.5000, 0.3736], [0.0000, 0.5000, 0.6264], [0.5000, 0.0000, 0.0000], [0.5000, 0.0000, 0.3736], [0.5000, 0.0000, 0.6264], [0.5000, 0.5000, 0.1959], [0.5000, 0.5000, 0.8041]]}

{"formula": "Ba2Ca4Bi3Cl2", "functional": "GGA-PBE", "state": "optimized geometry", "dft_energy_ev_per_atom": -3.6981, "mass_density_g_cm3": 4.9, "spacegroup": "I4/mmm (139)", "cell": [[-2.6762, 2.6762, 13.3933], [2.6762, -2.6762, 13.3933], [2.6762, 2.6762, -13.3933]], "species": ["Ba", "Ba", "Ca", "Ca", "Ca", "Ca", "Bi", "Bi", "Bi", "Cl", "Cl"], "frac_coords": [[0.2005, 0.2005, 0.0000], [0.7995, 0.7995, 0.0000], [0.0784, 0.5784, 0.5000], [0.4216, 0.9216, 0.5000], [0.5784, 0.0784, 0.5000], [0.9216, 0.4216, 0.5000], [0.3372, 0.3372, 0.0000], [0.5000, 0.5000, 0.0000], [0.6628, 0.6628, 0.0000], [0.0756, 0.0756, 0.0000], [0.9244, 0.9244, 0.0000]]}

{"formula": "Tc2Rh", "functional": "GGA-PBE", "state": "optimized geometry", "ef_mev_per_atom": -28, "e_above_lowest_polymorph_mev_per_atom": 90.6, "mass_density_g_cm3": 11.5, "spacegroup": "I4/mmm (139)", "cell": [[-1.3656, 1.3656, 5.7961], [1.3656, -1.3656, 5.7961], [1.3656, 1.3656, -5.7961]], "species": ["Tc", "Tc", "Rh"], "frac_coords": [[0.1686, 0.1686, 0.0000], [0.8314, 0.8314, 0.0000], [0.5000, 0.5000, 0.0000]]}

{"formula": "NpBe2F8", "functional": "GGA-PBE", "state": "optimized geometry", "e_above_lowest_polymorph_mev_per_atom": 0.0, "mass_density_g_cm3": 4.3, "spacegroup": "C2/c (15)", "cell": [[5.6394, -3.2780, 0.0000], [5.6394, 3.2780, 0.0000], [-5.3265, 0.0000, 8.4825]], "species": ["Np", "Np", "Be", "Be", "Be", "Be", "F", "F", "F", "F", "F", "F", "F", "F", "F", "F", "F", "F", "F", "F", "F", "F"], "frac_coords": [[0.1908, 0.8092, 0.7500], [0.8092, 0.1908, 0.2500], [0.1926, 0.1994, 0.5734], [0.1994, 0.1926, 0.0734], [0.8006, 0.8074, 0.9266], [0.8074, 0.8006, 0.4266], [0.0180, 0.2731, 0.1628], [0.0571, 0.2125, 0.8986], [0.0960, 0.6570, 0.4751], [0.2125, 0.0571, 0.3986], [0.2731, 0.0180, 0.6628], [0.3268, 0.3886, 0.6734], [0.3430, 0.9040, 0.0249], [0.3886, 0.3268, 0.1734], [0.6114, 0.6732, 0.8266], [0.6570, 0.0960, 0.9751], [0.6732, 0.6114, 0.3266], [0.7269, 0.9820, 0.3372], [0.7875, 0.9429, 0.6014], [0.9040, 0.3430, 0.5249], [0.9429, 0.7875, 0.1014], [0.9820, 0.7269, 0.8372]]}

{"formula": "In2TeI", "functional": "GGA-PBE", "state": "optimized geometry", "e_above_lowest_polymorph_mev_per_atom": 0.0, "mass_density_g_cm3": 5.1, "spacegroup": "P1 (1)", "cell": [[4.5602, 0.0000, 0.0000], [0.0039, 5.7887, 0.0000], [0.0049, 0.1380, 11.9905]], "species": ["In", "In", "In", "In", "Te", "Te", "I", "I"], "frac_coords": [[0.0000, 0.0000, 0.0000], [0.9999, 0.0324, 0.4086], [0.5001, 0.5350, 0.3070], [0.5001, 0.5695, 0.7157], [0.9999, 0.5307, 0.4757], [0.5001, 0.0368, 0.2401], [0.4999, 0.5496, 0.9893], [0.9982, 0.0189, 0.7262]]}